Here is a geometry-optimized PmIO structure from the Open Quantum Materials Database. Energies are from PBE.

- space group = P2_1/c (14)
- total energy (eV per atom) = -6.160
- magnetic moment (μB per atom) = 0.00

Geometry as POSCAR:
```
PmIO
1.0
6.4988 0.0000 0.0759
0.0000 6.5697 0.0000
-0.9632 0.0000 7.4090
I O Pm
4 4 4
direct
0.3937 0.7486 0.4078
0.3937 0.7514 0.9078
0.6063 0.2486 0.0922
0.6063 0.2514 0.5922
0.0585 0.3314 0.3819
0.0585 0.1686 0.8819
0.9415 0.6686 0.6181
0.9415 0.8314 0.1181
0.8468 0.6059 0.3220
0.1532 0.3941 0.6780
0.1532 0.1059 0.1780
0.8468 0.8941 0.8220
```

---

Here is a geometry-optimized PmIO structure from the Open Quantum Materials Database. Energies are from PBE.

- space group = Fddd (70)
- total energy (eV per atom) = -5.956
- magnetic moment (μB per atom) = 0.00

Geometry as POSCAR:
```
PmIO
1.0
0.1098 -0.7014 6.9541
-6.6180 0.5345 -2.1862
2.9630 -6.0196 -2.9949
I Pm O
4 4 4
direct
0.5000 0.0000 0.5000
0.5000 0.0000 0.0000
0.0000 0.0000 0.5000
0.5000 0.5000 0.0000
0.2766 0.2234 0.2500
0.7234 0.7766 0.7500
0.0266 0.4734 0.7500
0.9734 0.5266 0.2500
0.0054 0.2554 0.0108
0.7554 0.5054 0.5108
0.9946 0.7446 0.9892
0.2446 0.4946 0.4892
```

---

Here is a geometry-optimized PmIO structure from the Open Quantum Materials Database. Energies are from PBE.

- space group = Pbca (61)
- total energy (eV per atom) = -6.239
- magnetic moment (μB per atom) = 0.00

Geometry as POSCAR:
```
PmIO
1.0
13.0616 0.0000 0.0000
0.0000 7.2961 0.0000
0.0000 0.0000 13.6133
I O Pm
16 16 16
direct
0.5132 0.0180 0.8418
0.2191 0.6079 0.3682
0.5132 0.4820 0.3418
0.7191 0.8921 0.6318
0.7809 0.1079 0.1318
0.4868 0.5180 0.6582
0.0132 0.4820 0.1582
0.0132 0.0180 0.6582
0.4868 0.9820 0.1582
0.9868 0.5180 0.8418
0.2191 0.8921 0.8682
0.2809 0.3921 0.8682
0.7809 0.3921 0.6318
0.2809 0.1079 0.3682
0.7191 0.6079 0.1318
0.9868 0.9820 0.3418
0.9491 0.4318 0.4218
0.2217 0.3428 0.6092
0.0509 0.9318 0.0782
0.5509 0.5682 0.9218
0.4491 0.0682 0.5782
0.2783 0.8428 0.6092
0.7783 0.6572 0.3908
0.2783 0.6572 0.1092
0.2217 0.1572 0.1092
0.7783 0.8428 0.8908
0.7217 0.1572 0.3908
0.7217 0.3428 0.8908
0.5509 0.9318 0.4218
0.0509 0.5682 0.5782
0.4491 0.4318 0.0782
0.9491 0.0682 0.9218
0.0882 0.3114 0.4981
0.4118 0.6886 0.9981
0.5882 0.3114 0.0019
0.8176 0.1202 0.8258
0.1824 0.6202 0.6742
0.3176 0.1202 0.6742
0.5882 0.1886 0.5019
0.6824 0.6202 0.8258
0.1824 0.8798 0.1742
0.4118 0.8114 0.4981
0.6824 0.8798 0.3258
0.0882 0.1886 0.9981
0.3176 0.3798 0.1742
0.9118 0.6886 0.5019
0.8176 0.3798 0.3258
0.9118 0.8114 0.0019
```